# 1
Compound: Cs2SeI6Cl
Source: Alexandria via LeMat-Bulk
Functional: PBE
Structure: optimized geometry

a b c (Å): 8.319 8.319 12.783
angles (deg): 90.00 90.00 90.00
Space group I4/mmm (No. 139)
One atom of each set of equivalent atoms:
Cs  0.000  0.500  0.250
Se  0.000  0.000  0.000
I  0.000  0.000  0.223
I  0.244  0.244  0.000
Cl  0.000  0.000  0.500

Properties
Formation energy (no corrections) (eV/atom): -0.627
Crystal system: tetragonal



# 2
Compound: CrNi2Rh
Source: Alexandria via LeMat-Bulk
Functional: PBE
Structure: optimized geometry

a b c (Å): 5.808 5.808 5.808
angles (deg): 90.00 90.00 90.00
Space group F-43m (No. 216)
One atom of each set of equivalent atoms:
Cr  0.000  0.000  0.000
Ni  0.000  0.000  0.500
Ni  0.250  0.250  0.250
Rh  0.250  0.250  0.750

Properties
Crystal system: cubic
Energy of formation (eV/atom): 0.108



# 3
Compound: Cu2Si2Ge
Source: Alexandria via LeMat-Bulk
Functional: PBE
Structure: optimized geometry

a b c (Å): 3.585 3.585 11.671
angles (deg): 90.00 90.00 90.00
Space group I4/mmm (No. 139)
One atom of each set of equivalent atoms:
Cu  0.000  0.000  0.106
Si  0.000  0.500  0.250
Ge  0.000  0.000  0.500

Properties
Formation energy (no corrections) (eV/atom): 0.213
Crystal system: tetragonal
Excess energy over the best structure of this formula in the dataset (eV per formula unit): 0.00



# 4
Compound: Be2HgW
Source: Alexandria via LeMat-Bulk
Functional: PBE
Structure: optimized geometry

a b c (Å): 2.8388 2.8388 25.4353
angles (deg): 90.00 90.00 120.00
Space group R-3m (No. 166, hexagonal axes)
One atom of each set of equivalent atoms:
Be  0.0000  0.0000  0.2433
Hg  0.0000  0.0000  0.0000
W  0.0000  0.0000  0.5000

Properties
Crystal system: trigonal
Energy of formation (eV/atom): 0.554



# 5
Compound: Tb4Sm4Dy5
Source: Alexandria via LeMat-Bulk
Functional: PBE
Structure: optimized geometry

a b c (Å): 12.901 12.901 5.036
angles (deg): 90.00 90.00 90.00
Space group I4/m (No. 87)
One atom of each set of equivalent atoms:
Tb  0.153  0.770  0.000
Sm  0.078  0.383  0.000
Dy  0.000  0.000  0.000
Dy  0.039  0.191  0.500

Properties
Crystal system: tetragonal
Energy of formation (eV/atom): 0.015



# 6
Compound: K2BaAc
Source: Alexandria via LeMat-Bulk
Functional: PBE
Structure: optimized geometry

a b c (Å): 4.1134 4.1134 47.4513
angles (deg): 90.00 90.00 120.00
Space group R-3m (No. 166, hexagonal axes)
One atom of each set of equivalent atoms:
K  0.0000  0.0000  0.0838
Ba  0.0000  0.0000  0.5000
Ac  0.0000  0.0000  0.0000

Properties
Crystal system: trigonal
Energy of formation (eV/atom): 0.280



# 7
Compound: Mg2CrNi
Source: Alexandria via LeMat-Bulk
Functional: PBE
Structure: optimized geometry

a b c (Å): 10.257 3.104 4.571
angles (deg): 90.00 116.32 90.00
Space group Cm (No. 8)
One atom of each set of equivalent atoms:
Mg  0.000  0.000  0.000
Mg  0.219  0.000  0.717
Cr  0.441  0.000  0.441
Ni  0.234  0.500  0.232

Properties
Crystal system: monoclinic
Energy of formation (eV/atom): 0.194
Excess energy over the best structure of this formula in the dataset (eV per formula unit): 0.03



# 8
Compound: Te2PCl
Source: Alexandria via LeMat-Bulk
Functional: PBE
Structure: optimized geometry

a b c (Å): 7.138 7.138 7.138
angles (deg): 90.00 90.00 90.00
Space group Fm-3m (No. 225)
One atom of each set of equivalent atoms:
Te  0.250  0.250  0.250
P  0.000  0.000  0.000
Cl  0.000  0.000  0.500

Properties
Formation energy (no corrections) (eV/atom): 0.435
Crystal system: cubic
Excess energy over the best structure of this formula in the dataset (eV per formula unit): 2.12



Sequential electronic total energy output: -2.261; -7.026; -4.518; -4.623; -4.632; -1.777; -4.454; -2.950 eV/atom
Sequential ρ output: 4.29; 9.23; 5.67; 11.29; 8.12; 3.17; 4.06; 5.87 Mg/m³